Entry one
Below is a relaxed CaY3V crystal, with properties calculated at the PBE level.

It has space group Pm-3m (No. 221), with a = 5.508 Å, b = 5.508 Å, c = 5.508 Å, α = 90.00°, β = 90.00° and γ = 90.00°. Symmetry generates all atoms from Ca at (0.000, 0.000, 0.000), Y at (0.000, 0.500, 0.500) and V at (0.500, 0.500, 0.500).

Entry two
Below is a relaxed CaY3V crystal, with properties calculated at the PBE level.

It has space group Pm-3m (No. 221), with a = 5.487 Å, b = 5.487 Å, c = 5.487 Å, α = 90.00°, β = 90.00° and γ = 90.00°. Symmetry generates all atoms from Ca at (0.000, 0.000, 0.000), Y at (0.000, 0.000, 0.500) and V at (0.500, 0.500, 0.500).

Which of them is most stable? Easy: entry one.

Entry one
Below is a relaxed CaZr2V crystal, with properties calculated at the PBE level.

It has space group R-3m (No. 166, hexagonal axes), with a = 3.2251 Å, b = 3.2251 Å, c = 31.7715 Å, α = 90.00°, β = 90.00° and γ = 120.00°. Symmetry generates all atoms from Ca at (0.0000, 0.0000, 0.0000), Zr at (0.0000, 0.0000, 0.0997) and V at (0.0000, 0.0000, 0.5000).

Entry two
Below is a relaxed CaZr2V crystal, with properties calculated at the PBE level.

It has space group I-42d (No. 122), with a = 7.352 Å, b = 7.352 Å, c = 10.772 Å, α = 90.00°, β = 90.00° and γ = 90.00°. Symmetry generates all atoms from Ca at (0.000, 0.000, 0.000), Zr at (0.001, 0.750, 0.625) and V at (0.000, 0.000, 0.500).

Which of them is most stable? Easy: entry one.

Entry one
Below is a relaxed CaZr3V crystal, with properties calculated at the PBE level.

It has space group Pm-3m (No. 221), with a = 5.057 Å, b = 5.057 Å, c = 5.057 Å, α = 90.00°, β = 90.00° and γ = 90.00°. Symmetry generates all atoms from Ca at (0.000, 0.000, 0.000), Zr at (0.000, 0.500, 0.500) and V at (0.500, 0.500, 0.500).

Entry two
Below is a relaxed CaZr3V crystal, with properties calculated at the PBE level.

It has space group Pm-3m (No. 221), with a = 5.042 Å, b = 5.042 Å, c = 5.042 Å, α = 90.00°, β = 90.00° and γ = 90.00°. Symmetry generates all atoms from Ca at (0.000, 0.000, 0.000), Zr at (0.000, 0.000, 0.500) and V at (0.500, 0.500, 0.500).

Which of them is most stable? Easy: entry one.